(1)
Density functional theory data (PBE) for a relaxed structure of NaMgAuSe2.

As for the raw formation energy: -874 meV/atom.

It has space group P2/c (No. 13), with a = 6.0700 Å, b = 6.1202 Å, c = 7.0692 Å, α = 90.00°, β = 90.24° and γ = 90.00°. The distinct sites, in fractional coordinates, are Na at (0.0000, 0.0023, 0.2500), Mg at (0.5000, 0.5002, 0.2500), Au at (0.5000, 0.0000, 0.0000) and Se at (0.2399, 0.3093, 0.9991).

---

(2)
Density functional theory data (PBE) for a relaxed structure of Na2MgSi3Au12.

As for the raw formation energy: -55 meV/atom.

It has space group R-3m (No. 166, hexagonal axes), with a = 9.4657 Å, b = 9.4657 Å, c = 13.2685 Å, α = 90.00°, β = 90.00° and γ = 120.00°. The distinct sites, in fractional coordinates, are Na at (0.0000, 0.0000, 0.1086), Mg at (0.0000, 0.0000, 0.5000), Si at (0.0000, 0.5000, 0.0000), Au at (0.0021, 0.5010, 0.8134) and Au at (0.0511, 0.5256, 0.3927).

---

(3)
Density functional theory data (PBE) for a relaxed structure of NaMgSi2Au5.

As for the raw formation energy: -204 meV/atom.

It has space group P4/mmm (No. 123), with a = 4.5409 Å, b = 4.5409 Å, c = 9.8548 Å, α = 90.00°, β = 90.00° and γ = 90.00°. The distinct sites, in fractional coordinates, are Na at (0.0000, 0.0000, 0.0000), Mg at (0.0000, 0.0000, 0.5000), Si at (0.5000, 0.5000, 0.2427), Au at (0.0000, 0.5000, 0.3368) and Au at (0.5000, 0.5000, 0.0000).

---

(4)
Density functional theory data (PBE) for a relaxed structure of NaSmMgAu.

The calculated formation energy is -285.0 meV/atom.

It has space group F-43m (No. 216), with a = 7.1897 Å, b = 7.1897 Å, c = 7.1897 Å, α = 90.00°, β = 90.00° and γ = 90.00°. The distinct sites, in fractional coordinates, are Na at (0.0000, 0.0000, 0.0000), Sm at (0.2500, 0.2500, 0.2500), Mg at (0.2500, 0.2500, 0.7500) and Au at (0.0000, 0.0000, 0.5000).

---

(5)
Density functional theory data (PBE) for a relaxed structure of Na2MgSn3Au4.

The calculated formation energy is -303.3 meV/atom.

It has space group P-4m2 (No. 115), with a = 4.7045 Å, b = 4.7045 Å, c = 11.1945 Å, α = 90.00°, β = 90.00° and γ = 90.00°. The distinct sites, in fractional coordinates, are Na at (0.0000, 0.5000, 0.2349), Mg at (0.0000, 0.0000, 0.5000), Sn at (0.0000, 0.5000, 0.8682), Sn at (0.5000, 0.5000, 0.5000), Au at (0.0000, 0.0000, 0.0000), Au at (0.0000, 0.5000, 0.6281) and Au at (0.5000, 0.5000, 0.0000).

---

(6)
Density functional theory data (PBE) for a relaxed structure of NaSrMg2Au.

The calculated formation energy is -175.5 meV/atom. The value obtained for the polymorph energy (0 for the lowest one) is 27 meV per atom.

It has space group P4/mmm (No. 123), with a = 5.2358 Å, b = 5.2358 Å, c = 5.6225 Å, α = 90.00°, β = 90.00° and γ = 90.00°. The distinct sites, in fractional coordinates, are Na at (0.0000, 0.0000, 0.0000), Sr at (0.5000, 0.5000, 0.0000), Mg at (0.0000, 0.5000, 0.5000) and Au at (0.0000, 0.0000, 0.5000).

---

(7)
Density functional theory data (PBE) for a relaxed structure of NaSrMg2Au.

The calculated formation energy is -202.6 meV/atom. The value obtained for the polymorph energy (0 for the lowest one) is 0 meV per atom.

It has space group P4/mmm (No. 123), with a = 5.3004 Å, b = 5.3004 Å, c = 5.9424 Å, α = 90.00°, β = 90.00° and γ = 90.00°. The distinct sites, in fractional coordinates, are Na at (0.0000, 0.0000, 0.0000), Sr at (0.5000, 0.5000, 0.0000), Mg at (0.0000, 0.5000, 0.5000) and Au at (0.5000, 0.5000, 0.5000).

---

(8)
Density functional theory data (PBE) for a relaxed structure of NaSrMg2Au4.

The calculated formation energy is -532.0 meV/atom.

It has space group R-3m (No. 166, hexagonal axes), with a = 4.7187 Å, b = 4.7187 Å, c = 28.8793 Å, α = 90.00°, β = 90.00° and γ = 120.00°. The distinct sites, in fractional coordinates, are Na at (0.0000, 0.0000, 0.0000), Sr at (0.0000, 0.0000, 0.5000), Mg at (0.0000, 0.0000, 0.2610), Au at (0.0000, 0.0000, 0.1007) and Au at (0.0000, 0.0000, 0.3881).